AcGaAg2F8 after structural relaxation. Source: Alexandria via LeMat-Bulk, functional PBE-GGA.

Computed properties:
The value obtained for the uncorrected formation energy is -2.55 eV/atom.

abc: 4.4767 7.3553 5.7563
angles: 90.00 94.40 90.00
Space group P2/m (No. 10)
Symmetry-distinct sites (fractional):
Ac 0.0000 0.0000 0.0000 (multiplicity 1)
Ga 0.0000 0.5000 0.0000 (multiplicity 1)
Ag 0.5000 0.2781 0.5000 (multiplicity 2)
F 0.1160 0.2943 0.8026 (multiplicity 4)
F 0.3531 0.5000 0.1950 (multiplicity 2)
F 0.4831 0.0000 0.2381 (multiplicity 2)

=====

Ta2Cd2P after structural relaxation. Source: Alexandria via LeMat-Bulk, functional PBE-GGA.

Computed properties:
The energy above the lowest structure with this stoichiometry is 0.000 eV per formula unit. Its formation energy is -0.040 eV per atom.

abc: 6.4006 6.4006 4.7919
angles: 90.00 90.00 90.00
Space group P4/mbm (No. 127)
Symmetry-distinct sites (fractional):
Ta 0.1569 0.3431 0.0000 (multiplicity 4)
Cd 0.1573 0.6573 0.5000 (multiplicity 4)
P 0.0000 0.0000 0.0000 (multiplicity 2)

=====

Th3TeP2 after structural relaxation. Source: Alexandria via LeMat-Bulk, functional PBE-GGA.

Computed properties:
The value obtained for the uncorrected formation energy is -1.42 eV/atom.

abc: 4.1428 4.1428 22.0078
angles: 90.00 90.00 120.00
Space group P6_3/mmc (No. 194)
Symmetry-distinct sites (fractional):
Th 0.0000 0.0000 0.0000 (multiplicity 2)
Th 0.3333 0.6667 0.1491 (multiplicity 4)
Te 0.0000 0.0000 0.2500 (multiplicity 2)
P 0.3333 0.6667 0.5768 (multiplicity 4)

=====

ScHgI3 after structural relaxation. Source: Alexandria via LeMat-Bulk, functional PBE-GGA.

Computed properties:
The value obtained for the uncorrected formation energy is -0.68 eV/atom. The energy above the lowest structure with this stoichiometry is 1.479 eV per formula unit.

abc: 10.3098 10.3098 18.9873
angles: 90.00 90.00 120.00
Space group R-3c (No. 167, hexagonal axes)
Symmetry-distinct sites (fractional):
Sc 0.0000 0.0000 0.2500 (multiplicity 6)
Hg 0.0000 0.0000 0.0000 (multiplicity 6)
I 0.0000 0.2579 0.2500 (multiplicity 18)

=====

NdMg2Zr after structural relaxation. Source: Alexandria via LeMat-Bulk, functional PBE-GGA.

Computed properties:
The energy above the lowest structure with this stoichiometry is 0.000 eV per formula unit. Its formation energy is 0.027 eV per atom.

abc: 3.6509 3.6509 7.6013
angles: 90.00 90.00 90.00
Space group P4/mmm (No. 123)
Symmetry-distinct sites (fractional):
Nd 0.0000 0.0000 0.0000 (multiplicity 1)
Mg 0.5000 0.5000 0.2788 (multiplicity 2)
Zr 0.0000 0.0000 0.5000 (multiplicity 1)

=====

LaY2Tl after structural relaxation. Source: Alexandria via LeMat-Bulk, functional PBE-GGA.

Computed properties:
The energy above the lowest structure with this stoichiometry is 0.134 eV per formula unit. Its formation energy is -0.163 eV per atom.

abc: 3.7597 4.7774 6.9296
angles: 90.00 90.00 90.00
Space group Pmm2 (No. 25)
Symmetry-distinct sites (fractional):
La 0.0000 0.0000 0.0000 (multiplicity 1)
Y 0.0000 0.0000 0.4798 (multiplicity 1)
Y 0.5000 0.5000 0.7303 (multiplicity 1)
Tl 0.5000 0.5000 0.2486 (multiplicity 1)

=====

Sm9HoTh2 after structural relaxation. Source: Alexandria via LeMat-Bulk, functional PBE-GGA.

Computed properties:
Its formation energy is 0.042 eV per atom.

abc: 5.0999 5.0999 15.3126
angles: 90.00 90.00 90.00
Space group P4/mmm (No. 123)
Symmetry-distinct sites (fractional):
Sm 0.0000 0.0000 0.0000 (multiplicity 1)
Sm 0.0000 0.0000 0.3327 (multiplicity 2)
Sm 0.0000 0.5000 0.1679 (multiplicity 4)
Sm 0.0000 0.5000 0.5000 (multiplicity 2)
Ho 0.5000 0.5000 0.0000 (multiplicity 1)
Th 0.5000 0.5000 0.3334 (multiplicity 2)

=====

LuSc2Te after structural relaxation. Source: Alexandria via LeMat-Bulk, functional PBE-GGA.

Computed properties:
The value obtained for the uncorrected formation energy is -0.49 eV/atom. The energy above the lowest structure with this stoichiometry is 0.000 eV per formula unit.

abc: 3.7562 3.7562 6.9947
angles: 90.00 90.00 90.00
Space group P4/mmm (No. 123)
Symmetry-distinct sites (fractional):
Lu 0.0000 0.0000 0.0000 (multiplicity 1)
Sc 0.5000 0.5000 0.2704 (multiplicity 2)
Te 0.0000 0.0000 0.5000 (multiplicity 1)

=====

Tb2PmTm4 after structural relaxation. Source: Alexandria via LeMat-Bulk, functional PBE-GGA.

Computed properties:
The energy above the lowest structure with this stoichiometry is 0.000 eV per formula unit. Its formation energy is 0.036 eV per atom.

abc: 16.5254 3.5044 8.6530
angles: 90.00 119.10 90.00
Space group C2/m (No. 12)
Symmetry-distinct sites (fractional):
Tb 0.2051 0.0000 0.2925 (multiplicity 4)
Pm 0.0000 0.5000 0.0000 (multiplicity 2)
Tm 0.0706 0.5000 0.4315 (multiplicity 4)
Tm 0.1401 0.0000 0.8314 (multiplicity 4)

=====

HoCuSn2Rh4 after structural relaxation. Source: Alexandria via LeMat-Bulk, functional PBE-GGA.

Computed properties:
Its formation energy is -0.570 eV per atom.

abc: 4.5299 4.5299 22.5930
angles: 90.00 90.00 120.00
Space group R-3m (No. 166, hexagonal axes)
Symmetry-distinct sites (fractional):
Ho 0.0000 0.0000 0.0000 (multiplicity 3)
Cu 0.0000 0.0000 0.5000 (multiplicity 3)
Sn 0.0000 0.0000 0.2454 (multiplicity 6)
Rh 0.0000 0.0000 0.1265 (multiplicity 6)
Rh 0.0000 0.0000 0.3829 (multiplicity 6)

=====

RbSiBiMo2 after structural relaxation. Source: Alexandria via LeMat-Bulk, functional PBE-GGA.

Computed properties:
The value obtained for the uncorrected formation energy is 2.88 eV/atom.

abc: 4.9383 4.9383 5.2369
angles: 90.00 90.00 90.00
Space group P4/mmm (No. 123)
Symmetry-distinct sites (fractional):
Rb 0.0000 0.0000 0.0000 (multiplicity 1)
Si 0.0000 0.0000 0.5000 (multiplicity 1)
Bi 0.5000 0.5000 0.5000 (multiplicity 1)
Mo 0.0000 0.5000 0.0000 (multiplicity 2)

=====

Rb2NaBi2Pt after structural relaxation. Source: Alexandria via LeMat-Bulk, functional PBE-GGA.

Computed properties:
Its formation energy is -0.276 eV per atom.

abc: 7.4293 16.3963 7.5672
angles: 90.00 90.00 90.00
Space group Ibam (No. 72)
Symmetry-distinct sites (fractional):
Rb 0.2342 0.1688 0.0000 (multiplicity 8)
Na 0.0000 0.0000 0.2500 (multiplicity 4)
Bi 0.1922 0.4141 0.0000 (multiplicity 8)
Pt 0.0000 0.5000 0.2500 (multiplicity 4)

=====

SbPPtI2 after structural relaxation. Source: Alexandria via LeMat-Bulk, functional PBE-GGA.

Computed properties:
The value obtained for the uncorrected formation energy is 0.75 eV/atom. The energy above the lowest structure with this stoichiometry is 0.000 eV per formula unit.

abc: 5.5007 5.5007 5.2292
angles: 90.00 90.00 90.00
Space group P4/mmm (No. 123)
Symmetry-distinct sites (fractional):
Sb 0.0000 0.0000 0.0000 (multiplicity 1)
P 0.5000 0.5000 0.0000 (multiplicity 1)
Pt 0.0000 0.0000 0.5000 (multiplicity 1)
I 0.0000 0.5000 0.5000 (multiplicity 2)

=====

Np3TeSe6 after structural relaxation. Source: Alexandria via LeMat-Bulk, functional PBE-GGA.

Computed properties:
The value obtained for the uncorrected formation energy is -0.86 eV/atom.

abc: 10.6043 13.5294 7.2550
angles: 90.00 90.00 90.00
Space group Cmc2_1 (No. 36)
Symmetry-distinct sites (fractional):
Np 0.0000 0.0928 0.0000 (multiplicity 4)
Np 0.1835 0.4014 0.1179 (multiplicity 8)
Te 0.0000 0.2340 0.6236 (multiplicity 4)
Se 0.0000 0.2618 0.2366 (multiplicity 4)
Se 0.0000 0.4945 0.8801 (multiplicity 4)
Se 0.1646 0.0411 0.3029 (multiplicity 8)
Se 0.2080 0.2226 0.8989 (multiplicity 8)

=====

Ce3SF7 after structural relaxation. Source: Alexandria via LeMat-Bulk, functional PBE-GGA.

Computed properties:
The value obtained for the uncorrected formation energy is -3.59 eV/atom.

abc: 7.2764 13.8163 4.5922
angles: 90.00 90.00 90.00
Space group Cmmm (No. 65)
Symmetry-distinct sites (fractional):
Ce 0.0000 0.0000 0.0000 (multiplicity 2)
Ce 0.0000 0.3076 0.0000 (multiplicity 4)
S 0.0000 0.5000 0.0000 (multiplicity 2)
F 0.0000 0.0000 0.5000 (multiplicity 2)
F 0.0000 0.2854 0.5000 (multiplicity 4)
F 0.1771 0.1553 0.0000 (multiplicity 8)

=====

CaTl2Cl after structural relaxation. Source: Alexandria via LeMat-Bulk, functional PBE-GGA.

Computed properties:
The value obtained for the uncorrected formation energy is -0.71 eV/atom. The energy above the lowest structure with this stoichiometry is 0.509 eV per formula unit.

abc: 3.7002 6.0105 10.7874
angles: 90.00 90.00 90.00
Space group Imm2 (No. 44)
Symmetry-distinct sites (fractional):
Ca 0.0000 0.0000 0.0000 (multiplicity 2)
Tl 0.0000 0.0000 0.4566 (multiplicity 2)
Tl 0.0000 0.5000 0.2366 (multiplicity 2)
Cl 0.0000 0.5000 0.6774 (multiplicity 2)

=====

NdScCuAg after structural relaxation. Source: Alexandria via LeMat-Bulk, functional PBE-GGA.

Computed properties:
Its formation energy is -0.166 eV per atom.

abc: 7.0782 7.0782 7.0782
angles: 90.00 90.00 90.00
Space group F-43m (No. 216)
Symmetry-distinct sites (fractional):
Nd 0.0000 0.0000 0.0000 (multiplicity 4)
Sc 0.0000 0.0000 0.5000 (multiplicity 4)
Cu 0.2500 0.2500 0.7500 (multiplicity 4)
Ag 0.2500 0.2500 0.2500 (multiplicity 4)

=====

BaLiTeCl after structural relaxation. Source: Alexandria via LeMat-Bulk, functional PBE-GGA.

Computed properties:
The value obtained for the uncorrected formation energy is -1.75 eV/atom.

abc: 5.0121 5.0121 36.6571
angles: 90.00 90.00 120.00
Space group R-3m (No. 166, hexagonal axes)
Symmetry-distinct sites (fractional):
Ba 0.0000 0.0000 0.1102 (multiplicity 6)
Li 0.0000 0.0000 0.3165 (multiplicity 6)
Te 0.0000 0.0000 0.0000 (multiplicity 3)
Te 0.0000 0.0000 0.5000 (multiplicity 3)
Cl 0.0000 0.0000 0.2524 (multiplicity 6)

=====

Pu2Si6NiPd after structural relaxation. Source: Alexandria via LeMat-Bulk, functional PBE-GGA.

Computed properties:
The value obtained for the uncorrected formation energy is -0.31 eV/atom.

abc: 5.8375 5.8375 36.6947
angles: 90.00 90.00 120.00
Space group R-3m (No. 166, hexagonal axes)
Symmetry-distinct sites (fractional):
Pu 0.0000 0.0000 0.1257 (multiplicity 6)
Pu 0.0000 0.0000 0.2775 (multiplicity 6)
Si 0.0571 0.5285 0.7174 (multiplicity 18)
Si 0.0629 0.5315 0.8679 (multiplicity 18)
Ni 0.0000 0.0000 0.0000 (multiplicity 3)
Ni 0.0000 0.0000 0.5000 (multiplicity 3)
Pd 0.0000 0.0000 0.4240 (multiplicity 6)

=====

AgIrW2 after structural relaxation. Source: Alexandria via LeMat-Bulk, functional PBE-GGA.

Computed properties:
The energy above the lowest structure with this stoichiometry is 0.687 eV per formula unit. Its formation energy is 0.409 eV per atom.

abc: 3.8810 3.8810 8.3918
angles: 90.00 90.00 90.00
Space group I4/mmm (No. 139)
Symmetry-distinct sites (fractional):
Ag 0.0000 0.0000 0.0000 (multiplicity 2)
Ir 0.0000 0.0000 0.5000 (multiplicity 2)
W 0.0000 0.5000 0.2500 (multiplicity 4)

=====

| no. | uncorrected energy (eV per atom) |
| --- | --- |
| 1 | -4.863 |
| 2 | -6.229 |
| 3 | -7.461 |
| 4 | -2.933 |
| 5 | -4.099 |
| 6 | -5.218 |
| 7 | -5.116 |
| 8 | -5.574 |
| 9 | -4.520 |
| 10 | -6.331 |
| 11 | -3.505 |
| 12 | -3.119 |
| 13 | -2.981 |
| 14 | -7.151 |
| 15 | -6.772 |
| 16 | -2.856 |
| 17 | -4.678 |
| 18 | -3.953 |
| 19 | -7.530 |
| 20 | -8.996 |